(1)
# Li2H6Ir

Li2H6Ir after structural relaxation (PBE, Alexandria). Values from VASP.

Properties
ΔE to the lowest computed polymorph: 66 kJ/mol of formula units
crystal system: tetragonal

Quantum ESPRESSO input file:
```
&SYSTEM
  ibrav = 0, nat = 18, ntyp = 3
/
ATOMIC_SPECIES
Ir 192.22 Ir.upf
H 1.01 H.upf
Li 6.94 Li.upf
CELL_PARAMETERS angstrom
-3.860 1.258 -0.977
-0.558 -3.467 -2.260
-3.069 -4.028 6.937
ATOMIC_POSITIONS crystal
Ir 0.000 0.000 0.500
H 0.683 0.683 0.852
Li 0.500 0.500 0.334
H 0.183 0.817 0.648
H 0.783 0.217 0.000
H 0.217 0.783 0.000
Li 0.500 0.500 0.666
Li 0.000 0.000 0.834
H 0.317 0.317 0.148
H 0.717 0.717 0.500
H 0.683 0.683 0.148
H 0.283 0.283 0.500
H 0.183 0.817 0.352
H 0.817 0.183 0.648
H 0.817 0.183 0.352
Li 0.000 0.000 0.166
Ir 0.500 0.500 0.000
H 0.317 0.317 0.852
```



(2)
# K5RhO5

K5RhO5 after structural relaxation (PBE, Alexandria). Values from VASP.

Properties
crystal system: monoclinic

Quantum ESPRESSO input file:
```
&SYSTEM
  ibrav = 0, nat = 11, ntyp = 3
/
ATOMIC_SPECIES
O 16.00 O.upf
K 39.10 K.upf
Rh 102.91 Rh.upf
CELL_PARAMETERS angstrom
5.215 0.000 0.000
-2.607 5.893 -0.042
0.000 -2.253 6.799
ATOMIC_POSITIONS crystal
O 0.500 0.000 0.000
K 0.330 0.661 0.152
K 0.670 0.339 0.848
O 0.871 0.742 0.737
K 0.000 0.000 0.500
K 0.681 0.362 0.301
Rh 0.000 0.000 0.000
O 0.129 0.258 0.263
O 0.122 0.245 0.868
K 0.319 0.638 0.699
O 0.878 0.755 0.132
```



(3)
# K3Ag

K3Ag after structural relaxation (PBE, Alexandria). Values from VASP.

Properties
ΔE to the lowest computed polymorph: 30 kJ/mol of formula units
crystal system: cubic
ΔE_f: 0.105 eV per atom

Quantum ESPRESSO input file:
```
&SYSTEM
  ibrav = 0, nat = 4, ntyp = 2
/
ATOMIC_SPECIES
K 39.10 K.upf
Ag 107.87 Ag.upf
CELL_PARAMETERS angstrom
5.730 0.000 0.000
0.000 5.730 0.000
0.000 0.000 5.730
ATOMIC_POSITIONS crystal
K 0.000 0.500 0.000
K 0.000 0.000 0.500
Ag 0.500 0.500 0.500
K 0.500 0.000 0.000
```



(4)
# Dy3SbTe

Dy3SbTe after structural relaxation (PBE, Alexandria). Values from VASP.

Properties
crystal system: monoclinic

Quantum ESPRESSO input file:
```
&SYSTEM
  ibrav = 0, nat = 10, ntyp = 3
/
ATOMIC_SPECIES
Te 127.60 Te.upf
Sb 121.76 Sb.upf
Dy 162.50 Dy.upf
CELL_PARAMETERS angstrom
4.178 0.000 0.000
0.000 8.484 0.949
0.000 -0.951 8.637
ATOMIC_POSITIONS crystal
Te 0.750 0.121 0.723
Sb 0.750 0.625 0.733
Dy 0.750 0.345 0.999
Dy 0.250 0.874 0.629
Dy 0.750 0.126 0.371
Te 0.250 0.879 0.277
Sb 0.250 0.375 0.267
Dy 0.250 0.376 0.633
Dy 0.250 0.655 0.001
Dy 0.750 0.624 0.367
```



(5)
# Cr2Hg2Au

Cr2Hg2Au after structural relaxation (PBE, Alexandria). Values from VASP.

Properties
ΔE to the lowest computed polymorph: 0 kJ/mol of formula units
crystal system: tetragonal
ΔE_f: 0.557 eV per atom

Quantum ESPRESSO input file:
```
&SYSTEM
  ibrav = 0, nat = 5, ntyp = 3
/
ATOMIC_SPECIES
Cr 52.00 Cr.upf
Hg 200.59 Hg.upf
Au 196.97 Au.upf
CELL_PARAMETERS angstrom
-1.248 -2.543 1.644
1.583 -2.063 -1.990
6.709 -2.212 4.934
ATOMIC_POSITIONS crystal
Cr 0.250 0.750 0.500
Hg 0.611 0.611 0.778
Cr 0.750 0.250 0.500
Hg 0.389 0.389 0.222
Au 0.000 0.000 0.000
```



(6)
# Ba8CuPd3

Ba8CuPd3 after structural relaxation (PBE, Alexandria). Values from VASP.

Properties
crystal system: monoclinic
ΔE_f: -0.313 eV per atom

Quantum ESPRESSO input file:
```
&SYSTEM
  ibrav = 0, nat = 12, ntyp = 3
/
ATOMIC_SPECIES
Ba 137.33 Ba.upf
Pd 106.42 Pd.upf
Cu 63.55 Cu.upf
CELL_PARAMETERS angstrom
-4.654 0.288 8.128
5.997 -6.977 -1.721
3.058 8.603 1.447
ATOMIC_POSITIONS crystal
Ba 0.752 0.505 0.768
Ba 0.745 0.490 0.233
Pd 0.000 0.500 0.000
Ba 0.752 0.013 0.768
Ba 0.248 0.495 0.232
Pd 0.500 0.500 0.000
Pd 0.500 0.000 0.000
Ba 0.739 0.987 0.232
Ba 0.248 0.987 0.232
Ba 0.255 0.510 0.767
Cu 0.000 0.000 0.000
Ba 0.261 0.013 0.768
```



| no. | magnetic moment (μB per cell) | total DFT energy (no corrections) (eV per atom) |
| --- | --- | --- |
| 1 | 1.5 | -3.725 |
| 2 | 3.2 | -4.416 |
| 3 | 0.0 | -1.431 |
| 4 | 0.0 | -5.137 |
| 5 | 0.0 | -4.069 |
| 6 | 0.0 | -3.234 |